VASP calculation (PBE-GGA) on an optimized crystal structure of P3Ir.

It has space group P3m1 (No. 156), with a = 3.3724 Å, b = 3.3724 Å, c = 6.9715 Å, α = 90.00°, β = 90.00° and γ = 120.00°. Symmetry generates all atoms from P at (0.0000, 0.0000, 0.0000), P at (0.3333, 0.6667, 0.1708), P at (0.6667, 0.3333, 0.4939) and Ir at (0.0000, 0.0000, 0.6601).

For the formation energy, the calculation gives -0.43 eV per formula unit. For the distance to the lowest polymorph of the same formula, the calculation gives 51.6 kJ/mol of atoms.

=====

VASP calculation (PBE-GGA) on an optimized crystal structure of P2Ir.

It has space group C2/m (No. 12), with a = 11.3206 Å, b = 3.5994 Å, c = 4.7064 Å, α = 90.00°, β = 98.35° and γ = 90.00°. Symmetry generates all atoms from P at (0.0354, 0.0000, 0.2540), P at (0.1840, 0.5000, 0.7989) and Ir at (0.1771, 0.5000, 0.3105).

For the formation energy, the calculation gives -0.54 eV per formula unit.